Below is a relaxed Cr2GeH crystal, with properties calculated at the GGA-PBE level.

```
Cr2GeH
1.0
4.481 0.000 0.000
0.000 4.481 0.000
2.240 2.240 4.684
Cr Ge H
4 2 2
direct
0.375 0.125 0.250
0.375 0.625 0.250
0.375 0.625 0.750
0.875 0.625 0.750
0.000 0.000 0.000
0.750 0.250 0.500
0.500 0.500 0.000
0.250 0.750 0.500
```

Computed properties:
Crystal system: tetragonal
Symmetry: I4_1/amd, No. 141
Polymorph energy (0 for the lowest one): 0.347 eV per atom
DOS(E_F): 2.3 states/eV/f.u.
Total energy: -6.369 eV per atom